Arrangement 1

## K2CoCu (GGA-PBEsol)

Data for a geometry-optimized K2CoCu structure.

a b c (Å): 4.0248 4.0248 9.5405
angles (deg): 105.76 105.76 60.23
Positions (direct):
K (0.0000, 0.0000, 0.0000)
K (0.2221, 0.2221, 0.5185)
Co (0.4440, 0.4440, 0.2592)
Cu (0.7780, 0.7780, 0.2593)

Arrangement 2

## K2CoCu (GGA-PBEsol)

Data for a geometry-optimized K2CoCu structure.

a b c (Å): 2.7551 4.0810 8.8462
angles (deg): 90.00 90.00 90.00
Positions (direct):
K (0.0000, 0.0000, 0.2495)
K (0.0000, 0.0000, 0.7505)
Co (0.5000, 0.5000, 0.0000)
Cu (0.5000, 0.5000, 0.5000)

Taking the most stable structure as the zero point, the relative energies in meV/atom are arrangement 1 0; arrangement 2 402.

Arrangement 1

## KCoCu2 (GGA-PBEsol)

Data for a geometry-optimized KCoCu2 structure.

a b c (Å): 2.5615 4.0582 6.7979
angles (deg): 90.00 91.73 90.00
Positions (direct):
K (0.0000, 0.0000, 0.0000)
Co (0.9518, 0.5000, 0.3722)
Cu (0.4626, 0.0000, 0.4524)
Cu (0.4720, 0.5000, 0.6687)

Arrangement 2

## KCoCu2 (GGA-PBEsol)

Data for a geometry-optimized KCoCu2 structure.

a b c (Å): 4.5149 4.5149 4.5149
angles (deg): 60.00 60.00 60.00
Positions (direct):
K (0.0000, 0.0000, 0.0000)
Co (0.5000, 0.5000, 0.5000)
Cu (0.2500, 0.2500, 0.2500)
Cu (0.7500, 0.7500, 0.7500)

Taking the most stable structure as the zero point, the relative energies in meV/atom are arrangement 1 0; arrangement 2 518.

Arrangement 1

## Li2CoCuO4 (GGA-PBEsol)

Data for a geometry-optimized Li2CoCuO4 structure.

a b c (Å): 5.0323 5.0323 5.5722
angles (deg): 90.00 90.00 112.79
Positions (direct):
Li (0.2440, 0.7560, 0.7500)
Li (0.2500, 0.2500, 0.5000)
Li (0.7500, 0.7500, 0.0000)
Li (0.7560, 0.2440, 0.2500)
Co (0.2541, 0.2541, 0.0000)
Co (0.7459, 0.7459, 0.5000)
Cu (0.2442, 0.7558, 0.2500)
Cu (0.7558, 0.2442, 0.7500)
O (0.0136, 0.9864, 0.2500)
O (0.0213, 0.4691, 0.9912)
O (0.4691, 0.0213, 0.0088)
O (0.4765, 0.5235, 0.2500)
O (0.5235, 0.4765, 0.7500)
O (0.5309, 0.9787, 0.5088)
O (0.9787, 0.5309, 0.4912)
O (0.9864, 0.0136, 0.7500)

Arrangement 2

## Li2CoCuO4 (GGA-PBEsol)

Data for a geometry-optimized Li2CoCuO4 structure.

a b c (Å): 5.8899 5.8899 5.8899
angles (deg): 124.33 123.43 83.40
Positions (direct):
Li (0.0000, 0.0000, 0.0000)
Li (0.5000, 0.0000, 0.0000)
Li (0.5000, 0.0000, 0.5000)
Li (0.5000, 0.5000, 0.5000)
Co (0.0000, 0.5000, 0.5000)
Co (0.5000, 0.5000, 0.0000)
Cu (0.0000, 0.0000, 0.5000)
Cu (0.0000, 0.5000, 0.0000)
O (0.1916, 0.7129, 0.4787)
O (0.2664, 0.2846, 0.5181)
O (0.2657, 0.2871, 0.9787)
O (0.2664, 0.7483, 0.9819)
O (0.7336, 0.2517, 0.0181)
O (0.7343, 0.7129, 0.0213)
O (0.7336, 0.7154, 0.4819)
O (0.8084, 0.2871, 0.5213)

Taking the most stable structure as the zero point, the relative energies in meV/atom are arrangement 1 63; arrangement 2 0.

Arrangement 1

## Mn2CoCu (GGA-PBEsol)

Data for a geometry-optimized Mn2CoCu structure.

a b c (Å): 4.3504 4.3504 4.3504
angles (deg): 132.07 132.07 70.12
Positions (direct):
Mn (0.0000, 0.0000, 0.0000)
Mn (0.7500, 0.2500, 0.5000)
Co (0.5000, 0.5000, 0.0000)
Cu (0.2500, 0.7500, 0.5000)

Arrangement 2

## Mn2CoCu (GGA-PBEsol)

Data for a geometry-optimized Mn2CoCu structure.

a b c (Å): 2.4771 3.9726 4.3469
angles (deg): 90.00 90.00 90.00
Positions (direct):
Mn (0.0000, 0.0000, 0.0000)
Mn (0.0000, 0.5000, 0.3077)
Co (0.5000, 0.5000, 0.8154)
Cu (0.5000, 0.0000, 0.5015)

Taking the most stable structure as the zero point, the relative energies in meV/atom are arrangement 1 0; arrangement 2 70.

Arrangement 1

## Mn2CoCu (GGA-PBEsol)

Data for a geometry-optimized Mn2CoCu structure.

a b c (Å): 3.9783 3.9783 3.9783
angles (deg): 60.00 60.00 60.00
Positions (direct):
Mn (0.0000, 0.0000, 0.0000)
Mn (0.2500, 0.2500, 0.2500)
Co (0.7500, 0.7500, 0.7500)
Cu (0.5000, 0.5000, 0.5000)

Arrangement 2

## Mn2CoCu (GGA-PBEsol)

Data for a geometry-optimized Mn2CoCu structure.

a b c (Å): 2.4222 3.5851 4.8561
angles (deg): 90.00 90.00 90.00
Positions (direct):
Mn (0.0000, 0.0000, 0.2372)
Mn (0.0000, 0.0000, 0.7628)
Co (0.5000, 0.5000, 0.0000)
Cu (0.5000, 0.5000, 0.5000)

Taking the most stable structure as the zero point, the relative energies in meV/atom are arrangement 1 0; arrangement 2 18.

Arrangement 1

## CoCuMo2 (GGA-PBEsol)

Data for a geometry-optimized CoCuMo2 structure.

a b c (Å): 4.5337 4.5337 4.6709
angles (deg): 98.05 98.05 33.22
Positions (direct):
Co (0.0000, 0.0000, 0.0000)
Cu (0.7419, 0.7419, 0.2521)
Mo (0.2584, 0.2584, 0.7764)
Mo (0.4931, 0.4931, 0.4807)

Arrangement 2

## CoCuMo2 (GGA-PBEsol)

Data for a geometry-optimized CoCuMo2 structure.

a b c (Å): 4.2063 4.2063 4.2063
angles (deg): 60.00 60.00 60.00
Positions (direct):
Co (0.0000, 0.0000, 0.0000)
Cu (0.5000, 0.5000, 0.5000)
Mo (0.2500, 0.2500, 0.2500)
Mo (0.7500, 0.7500, 0.7500)

Taking the most stable structure as the zero point, the relative energies in meV/atom are arrangement 1 0; arrangement 2 198.

Arrangement 1

## Co2CuMo (GGA-PBEsol)

Data for a geometry-optimized Co2CuMo structure.

a b c (Å): 2.4833 4.0954 4.6778
angles (deg): 90.00 95.63 90.00
Positions (direct):
Co (0.2353, 0.0000, 0.2604)
Co (0.7647, 0.0000, 0.7396)
Cu (0.0000, 0.5000, 0.5000)
Mo (0.5000, 0.5000, 0.0000)

Arrangement 2

## Co2CuMo (GGA-PBEsol)

Data for a geometry-optimized Co2CuMo structure.

a b c (Å): 4.0290 4.0290 4.0290
angles (deg): 60.00 60.00 60.00
Positions (direct):
Co (0.2500, 0.2500, 0.2500)
Co (0.7500, 0.7500, 0.7500)
Cu (0.0000, 0.0000, 0.0000)
Mo (0.5000, 0.5000, 0.5000)

Taking the most stable structure as the zero point, the relative energies in meV/atom are arrangement 1 122; arrangement 2 0.

Arrangement 1

## Co2CuMo (GGA-PBEsol)

Data for a geometry-optimized Co2CuMo structure.

a b c (Å): 8.5063 8.5063 8.5063
angles (deg): 17.44 17.44 17.44
Positions (direct):
Co (0.0000, 0.0000, 0.0000)
Co (0.2583, 0.2583, 0.2583)
Cu (0.7478, 0.7478, 0.7478)
Mo (0.5055, 0.5055, 0.5055)

Arrangement 2

## Co2CuMo (GGA-PBEsol)

Data for a geometry-optimized Co2CuMo structure.

a b c (Å): 3.6932 3.6932 3.3726
angles (deg): 90.00 90.00 90.00
Positions (direct):
Co (0.0000, 0.5000, 0.0000)
Co (0.5000, 0.0000, 0.0000)
Cu (0.0000, 0.0000, 0.5000)
Mo (0.5000, 0.5000, 0.5000)

Arrangement 3

## Co2CuMo (GGA-PBEsol)

Data for a geometry-optimized Co2CuMo structure.

a b c (Å): 4.7845 4.7845 2.5059
angles (deg): 102.75 102.75 115.53
Positions (direct):
Co (0.0000, 0.5000, 0.0000)
Co (0.5000, 0.0000, 0.0000)
Cu (0.0000, 0.0000, 0.5000)
Mo (0.5000, 0.5000, 0.5000)

Taking the most stable structure as the zero point, the relative energies in meV/atom are arrangement 1 82; arrangement 2 0; arrangement 3 134.

Arrangement 1

## CoCuNi (GGA-PBEsol)

Data for a geometry-optimized CoCuNi structure.

a b c (Å): 2.4601 2.4601 6.1003
angles (deg): 90.00 90.00 120.00
Positions (direct):
Co (0.0000, 0.0000, 0.0000)
Cu (0.6667, 0.3333, 0.6602)
Ni (0.3333, 0.6667, 0.3212)

Arrangement 2

## CoCuNi (GGA-PBEsol)

Data for a geometry-optimized CoCuNi structure.

a b c (Å): 4.2764 4.2764 4.2764
angles (deg): 146.66 131.41 60.21
Positions (direct):
Co (0.0000, 0.0000, 0.0000)
Cu (0.6691, 0.6691, 0.0000)
Ni (0.3385, 0.3385, 0.0000)

Arrangement 3

## CoCuNi (GGA-PBEsol)

Data for a geometry-optimized CoCuNi structure.

a b c (Å): 5.5865 5.5865 5.5865
angles (deg): 154.63 154.63 36.18
Positions (direct):
Co (0.0000, 0.0000, 0.0000)
Cu (0.6718, 0.6718, 0.0000)
Ni (0.3428, 0.3428, 0.0000)

Taking the most stable structure as the zero point, the relative energies in meV/atom are arrangement 1 0; arrangement 2 31; arrangement 3 7.

Arrangement 1

## Co2CuP (GGA-PBEsol)

Data for a geometry-optimized Co2CuP structure.

a b c (Å): 2.6370 3.7562 4.5831
angles (deg): 90.00 106.72 90.00
Positions (direct):
Co (0.0000, 0.0000, 0.0000)
Co (0.3839, 0.5000, 0.7683)
Cu (0.6463, 0.5000, 0.2939)
P (0.2666, 0.0000, 0.5299)

Arrangement 2

## Co2CuP (GGA-PBEsol)

Data for a geometry-optimized Co2CuP structure.

a b c (Å): 4.3312 4.3312 4.3312
angles (deg): 133.46 133.46 67.93
Positions (direct):
Co (0.0000, 0.0000, 0.0000)
Co (0.7500, 0.2500, 0.5000)
Cu (0.5000, 0.5000, 0.0000)
P (0.2500, 0.7500, 0.5000)

Arrangement 3

## Co2CuP (GGA-PBEsol)

Data for a geometry-optimized Co2CuP structure.

a b c (Å): 3.5811 3.5811 3.2014
angles (deg): 90.00 90.00 90.00
Positions (direct):
Co (0.0000, 0.5000, 0.0000)
Co (0.5000, 0.0000, 0.0000)
Cu (0.0000, 0.0000, 0.5000)
P (0.5000, 0.5000, 0.5000)

Taking the most stable structure as the zero point, the relative energies in meV/atom are arrangement 1 85; arrangement 2 101; arrangement 3 0.

Arrangement 1

## CoCu2Re (GGA-PBEsol)

Data for a geometry-optimized CoCu2Re structure.

a b c (Å): 4.0543 4.0543 4.0543
angles (deg): 60.00 60.00 60.00
Positions (direct):
Co (0.0000, 0.0000, 0.0000)
Cu (0.5000, 0.5000, 0.5000)
Cu (0.7500, 0.7500, 0.7500)
Re (0.2500, 0.2500, 0.2500)

Arrangement 2

## CoCu2Re (GGA-PBEsol)

Data for a geometry-optimized CoCu2Re structure.

a b c (Å): 5.0073 5.0073 2.5164
angles (deg): 102.65 102.65 121.31
Positions (direct):
Co (0.0000, 0.0000, 0.0000)
Cu (0.0000, 0.5000, 0.5000)
Cu (0.5000, 0.0000, 0.5000)
Re (0.5000, 0.5000, 0.0000)

Taking the most stable structure as the zero point, the relative energies in meV/atom are arrangement 1 0; arrangement 2 29.

Arrangement 1

## Co2CuRe (GGA-PBEsol)

Data for a geometry-optimized Co2CuRe structure.

a b c (Å): 4.4815 4.4815 4.4815
angles (deg): 134.30 134.30 66.62
Positions (direct):
Co (0.0000, 0.0000, 0.0000)
Co (0.7500, 0.2500, 0.5000)
Cu (0.2500, 0.7500, 0.5000)
Re (0.5000, 0.5000, 0.0000)

Arrangement 2

## Co2CuRe (GGA-PBEsol)

Data for a geometry-optimized Co2CuRe structure.

a b c (Å): 2.9208 2.9208 5.4358
angles (deg): 90.00 90.00 90.00
Positions (direct):
Co (0.0000, 0.0000, 0.2400)
Co (0.0000, 0.0000, 0.7600)
Cu (0.5000, 0.5000, 0.0000)
Re (0.5000, 0.5000, 0.5000)

Taking the most stable structure as the zero point, the relative energies in meV/atom are arrangement 1 0; arrangement 2 23.

Arrangement 1

## CoCuRu2 (GGA-PBEsol)

Data for a geometry-optimized CoCuRu2 structure.

a b c (Å): 2.6301 3.6309 5.0872
angles (deg): 90.00 90.00 90.00
Positions (direct):
Co (0.0000, 0.0000, 0.0000)
Cu (0.5000, 0.5000, 0.2295)
Ru (0.0000, 0.0000, 0.4925)
Ru (0.5000, 0.5000, 0.7393)

Arrangement 2

## CoCuRu2 (GGA-PBEsol)

Data for a geometry-optimized CoCuRu2 structure.

a b c (Å): 4.4945 4.4945 2.5533
angles (deg): 90.00 90.00 110.55
Positions (direct):
Co (0.0000, 0.0000, 0.0000)
Cu (0.5000, 0.5000, 0.0000)
Ru (0.0000, 0.5000, 0.5000)
Ru (0.5000, 0.0000, 0.5000)

Taking the most stable structure as the zero point, the relative energies in meV/atom are arrangement 1 0; arrangement 2 114.